--- one ---
## HfPSN2 (PBE)

Data for a geometry-optimized HfPSN2 structure.

Calculated values
The calculation puts the calculated density at 7.7 g/cm³. The value obtained for the total magnetization is 0.00 μB/atom. The density of states at the Fermi level is 3.69 states/eV/cell.

a = 3.660 Å, b = 3.660 Å, c = 4.364 Å
α = 90.00°, β = 90.00°, γ = 90.00°
Space group P4/mmm (No. 123)
Asymmetric unit:
Hf: 0.000 0.000 0.000
P: 0.500 0.500 0.500
S: 0.500 0.500 0.000
N: 0.000 0.500 0.500

--- two ---
## HfPSN2 (PBE)

Data for a geometry-optimized HfPSN2 structure.

Calculated values
The calculation puts the calculated density at 5.2 g/cm³. The value obtained for the total magnetization is 0.01 μB/atom. The density of states at the Fermi level is 3.91 states/eV/cell.

a = 4.045 Å, b = 4.045 Å, c = 5.271 Å
α = 90.00°, β = 90.00°, γ = 90.00°
Space group P4/mmm (No. 123)
Asymmetric unit:
Hf: 0.000 0.000 0.000
P: 0.500 0.500 0.500
S: 0.000 0.000 0.500
N: 0.000 0.500 0.000

Which structure wins on stability? one wins.

--- one ---
## HfPSeN2 (PBE)

Data for a geometry-optimized HfPSeN2 structure.

Calculated values
The calculation puts the calculated density at 5.7 g/cm³. The value obtained for the total magnetization is 0.07 μB/atom. The density of states at the Fermi level is 3.56 states/eV/cell.

a = 4.044 Å, b = 4.044 Å, c = 5.650 Å
α = 90.00°, β = 90.00°, γ = 90.00°
Space group P4/mmm (No. 123)
Asymmetric unit:
Hf: 0.000 0.000 0.000
P: 0.500 0.500 0.500
Se: 0.000 0.000 0.500
N: 0.000 0.500 0.000

--- two ---
## HfPSeN2 (PBE)

Data for a geometry-optimized HfPSeN2 structure.

Calculated values
The calculation puts the calculated density at 8.1 g/cm³. The value obtained for the total magnetization is 0.00 μB/atom. The density of states at the Fermi level is 3.45 states/eV/cell.

a = 3.738 Å, b = 3.738 Å, c = 4.655 Å
α = 90.00°, β = 90.00°, γ = 90.00°
Space group P4/mmm (No. 123)
Asymmetric unit:
Hf: 0.000 0.000 0.000
P: 0.500 0.500 0.500
Se: 0.500 0.500 0.000
N: 0.000 0.500 0.500

Which structure wins on stability? two wins.

--- one ---
## HfPb3N (PBE)

Data for a geometry-optimized HfPb3N structure.

Calculated values
The calculation puts the calculated density at 7.4 g/cm³. The value obtained for the total magnetization is 0.57 μB/atom. The density of states at the Fermi level is 2.93 states/eV/cell.

a = 5.676 Å, b = 5.676 Å, c = 5.676 Å
α = 90.00°, β = 90.00°, γ = 90.00°
Space group Pm-3m (No. 221)
Asymmetric unit:
Hf: 0.000 0.000 0.000
Pb: 0.000 0.000 0.500
N: 0.500 0.500 0.500

--- two ---
## HfPb3N (PBE)

Data for a geometry-optimized HfPb3N structure.

Calculated values
The calculation puts the calculated density at 11.4 g/cm³. The value obtained for the total magnetization is 0.00 μB/atom. The density of states at the Fermi level is 4.42 states/eV/cell.

a = 4.910 Å, b = 4.910 Å, c = 4.910 Å
α = 90.00°, β = 90.00°, γ = 90.00°
Space group Pm-3m (No. 221)
Asymmetric unit:
Hf: 0.000 0.000 0.000
Pb: 0.000 0.500 0.500
N: 0.500 0.500 0.500

Which structure wins on stability? two wins.

--- one ---
## HfTePbN2 (PBE)

Data for a geometry-optimized HfTePbN2 structure.

Calculated values
The calculation puts the calculated density at 8.3 g/cm³. The value obtained for the total magnetization is 0.20 μB/atom. The density of states at the Fermi level is 3.48 states/eV/cell.

a = 4.294 Å, b = 4.294 Å, c = 5.882 Å
α = 90.00°, β = 90.00°, γ = 90.00°
Space group P4/mmm (No. 123)
Asymmetric unit:
Hf: 0.000 0.000 0.000
Te: 0.000 0.000 0.500
Pb: 0.500 0.500 0.500
N: 0.000 0.500 0.000

--- two ---
## HfTePbN2 (PBE)

Data for a geometry-optimized HfTePbN2 structure.

Calculated values
The calculation puts the calculated density at 8.3 g/cm³. The value obtained for the total magnetization is 0.11 μB/atom. The density of states at the Fermi level is 3.30 states/eV/cell.

a = 4.311 Å, b = 4.311 Å, c = 5.860 Å
α = 90.00°, β = 90.00°, γ = 90.00°
Space group P4/mmm (No. 123)
Asymmetric unit:
Hf: 0.000 0.000 0.000
Te: 0.500 0.500 0.000
Pb: 0.500 0.500 0.500
N: 0.000 0.500 0.500

Which structure wins on stability? one wins.

--- one ---
## HfPd3N (PBE)

Data for a geometry-optimized HfPd3N structure.

Calculated values
The calculation puts the calculated density at 11.3 g/cm³. The value obtained for the total magnetization is 0.00 μB/atom. The density of states at the Fermi level is 3.28 states/eV/cell.

a = 4.221 Å, b = 4.221 Å, c = 4.221 Å
α = 90.00°, β = 90.00°, γ = 90.00°
Space group Pm-3m (No. 221)
Asymmetric unit:
Hf: 0.000 0.000 0.000
Pd: 0.000 0.500 0.500
N: 0.500 0.500 0.500

--- two ---
## HfPd3N (PBE)

Data for a geometry-optimized HfPd3N structure.

Calculated values
The calculation puts the calculated density at 7.1 g/cm³. The value obtained for the total magnetization is 0.40 μB/atom. The density of states at the Fermi level is 2.76 states/eV/cell.

a = 4.924 Å, b = 4.924 Å, c = 4.924 Å
α = 90.00°, β = 90.00°, γ = 90.00°
Space group Pm-3m (No. 221)
Asymmetric unit:
Hf: 0.000 0.000 0.000
Pd: 0.000 0.000 0.500
N: 0.500 0.500 0.500

Which structure wins on stability? one wins.

--- one ---
## Hf4Pd2N (PBE)

Data for a geometry-optimized Hf4Pd2N structure.

Calculated values
The calculation puts the calculated density at 12.8 g/cm³. The value obtained for the total magnetization is 0.00 μB/atom. The density of states at the Fermi level is 11.85 states/eV/cell.

a = 14.663 Å, b = 3.145 Å, c = 5.635 Å
α = 90.00°, β = 110.34°, γ = 90.00°
Space group C2/m (No. 12)
Asymmetric unit:
Hf: 0.085 0.000 0.414
Hf: 0.097 0.500 0.941
Pd: 0.245 0.500 0.725
N: 0.000 0.000 0.000

--- two ---
## Hf4Pd2N (PBE)

Data for a geometry-optimized Hf4Pd2N structure.

Calculated values
The calculation puts the calculated density at 12.3 g/cm³. The value obtained for the total magnetization is 0.00 μB/atom. The density of states at the Fermi level is 5.67 states/eV/cell.

a = 4.351 Å, b = 4.351 Å, c = 13.469 Å
α = 90.00°, β = 90.00°, γ = 90.00°
Space group I4/mmm (No. 139)
Asymmetric unit:
Hf: 0.000 0.000 0.178
Hf: 0.000 0.500 0.000
Pd: 0.000 0.000 0.366
N: 0.000 0.000 0.000

Which structure wins on stability? two wins.